Computed, not measured: a geometry-optimized Al2ZnCrO structure at the PBE+U level of DFT.

Lattice parameters (Å, degrees): 5.245 3.568 5.245 90.00 90.00 90.00
Fractional positions:
Zn: 0.500 0.500 0.500
O: 0.000 0.500 0.000
Al: 0.500 0.000 0.000
Cr: 0.000 0.000 0.000
Al: 0.000 0.000 0.500

Fermi-level density of states	2.8	states/eV per cell
uncorrected energy	-4.068	eV per atom
crystal system	tetragonal